Record 1
Here is a relaxed K2YHf crystal from Alexandria via LeMat-Bulk. Energies are from PBE.

a b c (Å): 9.894 9.894 7.651
angles (deg): 49.72 49.72 90.00
Positions (direct):
Y1 0.500 0.500 0.000
Hf1 0.750 0.250 0.500
K1 0.875 0.882 0.750
K2 0.632 0.125 0.250
K3 0.118 0.625 0.250
Y2 0.250 0.750 0.500
K4 0.375 0.368 0.750
Hf2 0.000 0.000 0.000

Calculated values
**Energy of formation from the pure elements**: 1282 meV/atom
**Spin magnetization**: 0.00 μB/f.u.
**DFT total energy**: -26.97 eV per cell
**Volume**: 303.2 Å³/cell
**Mass density**: 3.79 g/cm3
**Polymorph energy (0 for the lowest one)**: 0.000 eV per atom
**Density of states at the Fermi level**: 1.203 states/eV/atom


Record 2
Here is a relaxed KY3Hf crystal from Alexandria via LeMat-Bulk. Energies are from PBE.

a b c (Å): 5.349 5.349 5.349
angles (deg): 90.00 90.00 90.00
Positions (direct):
K1 0.000 0.000 0.000
Hf1 0.500 0.500 0.500
Y1 0.000 0.000 0.500
Y2 0.500 0.000 0.000
Y3 0.000 0.500 0.000

Calculated values
**Energy of formation from the pure elements**: 1370 meV/atom
**Spin magnetization**: 0.00 μB/f.u.
**DFT total energy**: -23.59 eV per cell
**Volume**: 153.1 Å³/cell
**Mass density**: 5.25 g/cm3
**Polymorph energy (0 for the lowest one)**: 0.738 eV per atom
**Density of states at the Fermi level**: 0.857 states/eV/atom


Record 3
Here is a relaxed KYHf3 crystal from Alexandria via LeMat-Bulk. Energies are from PBE.

a b c (Å): 5.451 5.451 5.451
angles (deg): 90.00 90.00 90.00
Positions (direct):
Y1 0.000 0.000 0.000
K1 0.500 0.500 0.500
Hf1 0.500 0.000 0.000
Hf2 0.000 0.000 0.500
Hf3 0.000 0.500 0.000

Calculated values
**Energy of formation from the pure elements**: 1600 meV/atom
**Spin magnetization**: 0.00 μB/f.u.
**DFT total energy**: -29.42 eV per cell
**Volume**: 161.9 Å³/cell
**Mass density**: 6.80 g/cm3
**Polymorph energy (0 for the lowest one)**: 0.000 eV per atom
**Density of states at the Fermi level**: 2.161 states/eV/atom


Record 4
Here is a relaxed KY2Hf crystal from Alexandria via LeMat-Bulk. Energies are from PBE.

a b c (Å): 4.880 4.880 11.904
angles (deg): 78.17 78.17 90.00
Last column: magnetic moment on the atom in μB.
Positions (direct):
Y1 0.099 0.625 0.250  0.14
Y2 0.875 0.901 0.750  0.14
Hf1 0.750 0.250 0.500  0.41
Hf2 0.000 0.000 0.000  0.41
Y3 0.375 0.349 0.750  0.14
K1 0.500 0.500 0.000  0.02
K2 0.250 0.750 0.500  0.02
Y4 0.651 0.125 0.250  0.13

Calculated values
**Energy of formation from the pure elements**: 1133 meV/atom
**Spin magnetization**: 1.21 μB/f.u.
**DFT total energy**: -38.90 eV per cell
**Volume**: 271.4 Å³/cell
**Mass density**: 4.84 g/cm3
**Polymorph energy (0 for the lowest one)**: 0.364 eV per atom
**Density of states at the Fermi level**: 1.206 states/eV/atom


Record 5
Here is a relaxed K2YHf crystal from Alexandria via LeMat-Bulk. Energies are from PBE.

a b c (Å): 5.931 5.931 5.931
angles (deg): 60.00 60.00 60.00
Last column: magnetic moment on the atom in μB.
Positions (direct):
K1 0.250 0.250 0.250  0.00
K2 0.750 0.750 0.750  0.00
Y1 0.000 0.000 0.000  0.07
Hf1 0.500 0.500 0.500  0.41

Calculated values
**Energy of formation from the pure elements**: 1309 meV/atom
**Spin magnetization**: 0.89 μB/f.u.
**DFT total energy**: -13.38 eV per cell
**Volume**: 147.5 Å³/cell
**Mass density**: 3.89 g/cm3
**Polymorph energy (0 for the lowest one)**: 0.027 eV per atom
**Density of states at the Fermi level**: 1.054 states/eV/atom


Record 6
Here is a relaxed KY3Hf crystal from Alexandria via LeMat-Bulk. Energies are from PBE.

a b c (Å): 5.811 5.811 5.811
angles (deg): 90.00 90.00 90.00
Positions (direct):
Hf1 0.000 0.000 0.000
K1 0.500 0.500 0.500
Y1 0.500 0.000 0.000
Y2 0.000 0.000 0.500
Y3 0.000 0.500 0.000

Calculated values
**Energy of formation from the pure elements**: 632 meV/atom
**Spin magnetization**: 0.00 μB/f.u.
**DFT total energy**: -27.28 eV per cell
**Volume**: 196.3 Å³/cell
**Mass density**: 4.10 g/cm3
**Polymorph energy (0 for the lowest one)**: 0.000 eV per atom
**Density of states at the Fermi level**: 0.482 states/eV/atom


Record 7
Here is a relaxed KY2Hf crystal from Alexandria via LeMat-Bulk. Energies are from PBE.

a b c (Å): 5.649 5.649 5.649
angles (deg): 60.00 60.00 60.00
Last column: magnetic moment on the atom in μB.
Positions (direct):
Y1 0.250 0.250 0.250  0.22
Y2 0.750 0.750 0.750  0.22
K1 0.000 0.000 0.000  0.01
Hf1 0.500 0.500 0.500  0.65

Calculated values
**Energy of formation from the pure elements**: 769 meV/atom
**Spin magnetization**: 1.92 μB/f.u.
**DFT total energy**: -20.90 eV per cell
**Volume**: 127.5 Å³/cell
**Mass density**: 5.15 g/cm3
**Polymorph energy (0 for the lowest one)**: 0.000 eV per atom
**Density of states at the Fermi level**: 2.075 states/eV/atom


Record 8
Here is a relaxed KYHf2 crystal from Alexandria via LeMat-Bulk. Energies are from PBE.

a b c (Å): 5.441 5.441 5.441
angles (deg): 60.00 60.00 60.00
Last column: magnetic moment on the atom in μB.
Positions (direct):
K1 0.000 0.000 0.000  0.02
Hf1 0.250 0.250 0.250  0.39
Hf2 0.750 0.750 0.750  0.39
Y1 0.500 0.500 0.500  0.34

Calculated values
**Energy of formation from the pure elements**: 1150 meV/atom
**Spin magnetization**: 1.90 μB/f.u.
**DFT total energy**: -22.87 eV per cell
**Volume**: 113.9 Å³/cell
**Mass density**: 7.07 g/cm3
**Density of states at the Fermi level**: 1.859 states/eV/atom


Q: Among the records above, which one has the highest volume?
A: number 1